The following is a PBE calculation of a relaxed structure of CsI3Cl, from Alexandria via LeMat-Bulk.

Properties
Size of the total moment = 0.0 μB/f.u.
Formation energy (no corrections) = -44.0 kJ per mole of atoms
Relative energy among the computed polymorphs = 51.4 meV per atom

abc: 5.9777 5.9777 5.9777
angles: 90.00 90.00 90.00
With the nearest neighbours (Å) after each atom.
Space group Pm-3m (No. 221)
Inequivalent atoms, fractional coordinates:
Cs 0.0000 0.0000 0.0000 [1 per cell]  12 I 4.23
I 0.0000 0.5000 0.5000 [3 per cell]  2 Cl 2.99
Cl 0.5000 0.5000 0.5000 [1 per cell]  6 I 2.99